Entry 1:
# Cs2Pd2I5 (PBE, relaxed)
data_Cs2Pd2I5
_chemical_formula_sum 'Cs4 Pd4 I10'
_cell_length_a 14.838
_cell_length_b 5.404
_cell_length_c 9.596
_cell_angle_alpha 90.00
_cell_angle_beta 94.19
_cell_angle_gamma 90.00
_space_group_name_H-M_alt 'C 1 2/m 1'
_space_group_IT_number 12
_space_group_name_Hall '-C 2y'
loop_
_atom_site_label
_atom_site_fract_x
_atom_site_fract_y
_atom_site_fract_z
Cs1 0.079 0.000 0.281
Pd1 0.183 0.500 0.876
I1 0.000 0.500 0.000
I2 0.118 0.500 0.609
I3 0.224 0.000 0.874
# Crystal system: monoclinic
# Size of the total moment in μB per cell: 0.000
# Calculated density in kg/m3: 4817
# Energy relative to the elements, uncorrected in eV/f.u.: -6.68
# Raw total energy in eV/cell: -53.04

Entry 2:
# Ba2TaGaS6 (PBE, relaxed)
data_Ba2TaGaS6
_chemical_formula_sum 'Ba12 Ta6 Ga6 S36'
_cell_length_a 6.9093
_cell_length_b 6.9093
_cell_length_c 34.5417
_cell_angle_alpha 90.00
_cell_angle_beta 90.00
_cell_angle_gamma 120.00
_space_group_name_H-M_alt 'R -3 m'
_space_group_IT_number 166
_space_group_name_Hall '-R 3 2"'
loop_
_atom_site_label
_atom_site_fract_x
_atom_site_fract_y
_atom_site_fract_z
Ba1 0.0000 0.0000 0.1220
Ba2 0.0000 0.0000 0.2932
Ta1 0.0000 0.0000 0.0000
Ta2 0.0000 0.0000 0.5000
Ga1 0.0000 0.0000 0.4152
S1 0.0021 0.5011 0.1240
S2 0.0016 0.5008 0.7077
# Crystal system: trigonal
# Size of the total moment in μB per cell: 0.000
# Calculated density in kg/m3: 5007
# Energy relative to the elements, uncorrected in eV/f.u.: -12.75
# Raw total energy in eV/cell: -337.42

Entry 3:
# Pu2HfBi2N2 (PBE, relaxed)
data_Pu2HfBi2N2
_chemical_formula_sum 'Pu4 Hf2 Bi4 N4'
_cell_length_a 4.248
_cell_length_b 4.248
_cell_length_c 16.340
_cell_angle_alpha 90.00
_cell_angle_beta 90.00
_cell_angle_gamma 90.00
_space_group_name_H-M_alt 'I 4/m m m'
_space_group_IT_number 139
_space_group_name_Hall '-I 4 2'
loop_
_atom_site_label
_atom_site_fract_x
_atom_site_fract_y
_atom_site_fract_z
Pu1 0.000 0.000 0.094
Hf1 0.000 0.000 0.500
Bi1 0.000 0.000 0.307
N1 0.000 0.500 0.000
# Crystal system: tetragonal
# Size of the total moment in μB per cell: 20.522
# Calculated density in kg/m3: 12531
# Energy relative to the elements, uncorrected in eV/f.u.: -5.86
# Raw total energy in eV/cell: -137.77

Entry 4:
# Tl2CrC (PBE, relaxed)
data_Tl2CrC
_chemical_formula_sum 'Tl8 Cr4 C4'
_cell_length_a 6.796
_cell_length_b 6.796
_cell_length_c 6.796
_cell_angle_alpha 90.00
_cell_angle_beta 90.00
_cell_angle_gamma 90.00
_space_group_name_H-M_alt 'F m -3 m'
_space_group_IT_number 225
_space_group_name_Hall '-F 4 2 3'
loop_
_atom_site_label
_atom_site_fract_x
_atom_site_fract_y
_atom_site_fract_z
Tl1 0.250 0.250 0.250
Cr1 0.000 0.000 0.000
C1 0.000 0.000 0.500
# Crystal system: cubic
# Formation energy in eV per atom: 1.64
# Size of the total moment in μB per cell: 16.099
# Calculated density in kg/m3: 10005
# Energy relative to the lowest polymorph listed for this composition in meV per atom: 749
# Raw total energy in eV/cell: -68.05

Entry 5:
# RbNa2Ir (PBE, relaxed)
data_RbNa2Ir
_chemical_formula_sum 'Rb4 Na8 Ir4'
_cell_length_a 5.019
_cell_length_b 5.019
_cell_length_c 20.520
_cell_angle_alpha 90.00
_cell_angle_beta 90.00
_cell_angle_gamma 90.00
_space_group_name_H-M_alt 'I -4 2 d'
_space_group_IT_number 122
_space_group_name_Hall 'I -4 2bw'
loop_
_atom_site_label
_atom_site_fract_x
_atom_site_fract_y
_atom_site_fract_z
Rb1 0.000 0.000 0.000
Na1 0.162 0.250 0.625
Ir1 0.000 0.000 0.500
# Crystal system: tetragonal
# Formation energy in eV per atom: 0.84
# Size of the total moment in μB per cell: 2.055
# Calculated density in kg/m3: 4159
# Energy relative to the lowest polymorph listed for this composition in meV per atom: 192
# Raw total energy in eV/cell: -36.40

Entry 6:
# CeNdEuSc (PBE, relaxed)
data_CeNdEuSc
_chemical_formula_sum 'Ce4 Nd4 Eu4 Sc4'
_cell_length_a 8.041
_cell_length_b 8.041
_cell_length_c 8.041
_cell_angle_alpha 90.00
_cell_angle_beta 90.00
_cell_angle_gamma 90.00
_space_group_name_H-M_alt 'F -4 3 m'
_space_group_IT_number 216
_space_group_name_Hall 'F -4 2 3'
loop_
_atom_site_label
_atom_site_fract_x
_atom_site_fract_y
_atom_site_fract_z
Ce1 0.000 0.000 0.000
Nd1 0.250 0.250 0.750
Eu1 0.000 0.000 0.500
Sc1 0.250 0.250 0.250
# Crystal system: cubic
# Formation energy in eV per atom: 0.25
# Size of the total moment in μB per cell: 36.239
# Calculated density in kg/m3: 6148
# Raw total energy in eV/cell: -105.23

Entry 7:
# MgPd (PBE, relaxed)
data_MgPd
_chemical_formula_sum 'Mg4 Pd4'
_cell_length_a 5.870
_cell_length_b 5.870
_cell_length_c 5.870
_cell_angle_alpha 90.00
_cell_angle_beta 90.00
_cell_angle_gamma 90.00
_space_group_name_H-M_alt 'F -4 3 m'
_space_group_IT_number 216
_space_group_name_Hall 'F -4 2 3'
loop_
_atom_site_label
_atom_site_fract_x
_atom_site_fract_y
_atom_site_fract_z
Mg1 0.000 0.000 0.000
Pd1 0.250 0.250 0.750
# Crystal system: cubic
# Formation energy in eV per atom: 0.21
# Size of the total moment in μB per cell: 0.000
# Calculated density in kg/m3: 4293
# Raw total energy in eV/cell: -25.43

Entry 8:
# KAlHg2 (PBE, relaxed)
data_KAlHg2
_chemical_formula_sum 'K2 Al2 Hg4'
_cell_length_a 4.750
_cell_length_b 5.735
_cell_length_c 8.214
_cell_angle_alpha 90.00
_cell_angle_beta 90.00
_cell_angle_gamma 90.00
_space_group_name_H-M_alt 'I m m m'
_space_group_IT_number 71
_space_group_name_Hall '-I 2 2'
loop_
_atom_site_label
_atom_site_fract_x
_atom_site_fract_y
_atom_site_fract_z
K1 0.000 0.000 0.000
Al1 0.000 0.000 0.500
Hg1 0.000 0.500 0.211
# Crystal system: orthorhombic
# Formation energy in eV per atom: 0.03
# Size of the total moment in μB per cell: 0.000
# Calculated density in kg/m3: 6935
# Energy relative to the lowest polymorph listed for this composition in meV per atom: 92
# Raw total energy in eV/cell: -10.61

Entry 9:
# ZnOs5 (PBE, relaxed)
data_ZnOs5
_chemical_formula_sum 'Zn2 Os10'
_cell_length_a 10.021
_cell_length_b 2.761
_cell_length_c 6.441
_cell_angle_alpha 90.00
_cell_angle_beta 104.81
_cell_angle_gamma 90.00
_space_group_name_H-M_alt 'C 1 m 1'
_space_group_IT_number 8
_space_group_name_Hall 'C -2y'
loop_
_atom_site_label
_atom_site_fract_x
_atom_site_fract_y
_atom_site_fract_z
Zn1 0.000 0.000 0.000
Os1 0.122 0.500 0.721
Os2 0.177 0.500 0.344
Os3 0.276 0.000 0.069
Os4 0.337 0.000 0.668
Os5 0.450 0.500 0.393
# Crystal system: monoclinic
# Formation energy in eV per atom: 0.14
# Size of the total moment in μB per cell: 0.000
# Calculated density in kg/m3: 19593
# Energy relative to the lowest polymorph listed for this composition in meV per atom: 0
# Raw total energy in eV/cell: -113.12

Entry 10:
# Ce3Pr2Se8 (PBE, relaxed)
data_Ce3Pr2Se8
_chemical_formula_sum 'Ce6 Pr4 Se16'
_cell_length_a 14.934
_cell_length_b 8.508
_cell_length_c 7.198
_cell_angle_alpha 90.00
_cell_angle_beta 110.01
_cell_angle_gamma 90.00
_space_group_name_H-M_alt 'C 1 2/m 1'
_space_group_IT_number 12
_space_group_name_Hall '-C 2y'
loop_
_atom_site_label
_atom_site_fract_x
_atom_site_fract_y
_atom_site_fract_z
Ce1 0.000 0.000 0.000
Ce2 0.000 0.261 0.500
Pr1 0.236 0.500 0.161
Se1 0.113 0.500 0.406
Se2 0.115 0.000 0.424
Se3 0.125 0.231 0.913
# Crystal system: monoclinic
# Size of the total moment in μB per cell: 4.033
# Calculated density in kg/m3: 5155
# Energy relative to the lowest polymorph listed for this composition in meV per atom: 0
# Energy relative to the elements, uncorrected in eV/f.u.: -22.74
# Raw total energy in eV/cell: -155.96

Entry 11:
# TlH12Pt7 (PBE, relaxed)
data_TlH12Pt7
_chemical_formula_sum 'Tl3 H36 Pt21'
_cell_length_a 11.6109
_cell_length_b 11.6109
_cell_length_c 5.4009
_cell_angle_alpha 90.00
_cell_angle_beta 90.00
_cell_angle_gamma 120.00
_space_group_name_H-M_alt 'R -3'
_space_group_IT_number 148
_space_group_name_Hall '-R 3'
loop_
_atom_site_label
_atom_site_fract_x
_atom_site_fract_y
_atom_site_fract_z
Tl1 0.0000 0.0000 0.0000
H1 0.0226 0.2695 0.0400
H2 0.0707 0.4809 0.1546
Pt1 0.0000 0.0000 0.5000
Pt2 0.0620 0.8202 0.6938
# Crystal system: trigonal
# Size of the total moment in μB per cell: 0.000
# Calculated density in kg/m3: 12499
# Raw total energy in eV/cell: -250.20

Entry 12:
# CdPRhCl2 (PBE, relaxed)
data_CdPRhCl2
_chemical_formula_sum 'Cd1 P1 Rh1 Cl2'
_cell_length_a 5.066
_cell_length_b 5.066
_cell_length_c 5.187
_cell_angle_alpha 90.00
_cell_angle_beta 90.00
_cell_angle_gamma 90.00
_space_group_name_H-M_alt 'P 4/m m m'
_space_group_IT_number 123
_space_group_name_Hall '-P 4 2'
loop_
_atom_site_label
_atom_site_fract_x
_atom_site_fract_y
_atom_site_fract_z
Cd1 0.000 0.000 0.000
P1 0.000 0.000 0.500
Rh1 0.500 0.500 0.500
Cl1 0.000 0.500 0.000
# Crystal system: tetragonal
# Size of the total moment in μB per cell: 3.169
# Calculated density in kg/m3: 3957
# Energy relative to the lowest polymorph listed for this composition in meV per atom: 829
# Energy relative to the elements, uncorrected in eV/f.u.: 4.12
# Raw total energy in eV/cell: -13.25